Compound: Tl2FeAsO4
Source: Alexandria
Functional: PBE with a Hubbard U
Structure: optimized geometry

a = 6.5928 Å, b = 8.2202 Å, c = 5.4251 Å
α = 90.00°, β = 90.00°, γ = 90.00°
With the nearest neighbours (Å) after each atom.
Positions (direct):
Tl  0.2493  0.1253  0.0000  3 O 2.72-2.96
Tl  0.2507  0.8747  0.5000  3 O 2.72-2.96
Tl  0.7493  0.8747  0.5000  3 O 2.72-2.96
Tl  0.7507  0.1253  0.0000  3 O 2.72-2.96
Fe  0.0000  0.6262  0.9852  4 O 2.04-2.06
Fe  0.5000  0.3738  0.4852  4 O 2.04-2.06
As  0.0000  0.3927  0.4772  4 O 1.73-1.75
As  0.5000  0.6073  0.9772  4 O 1.73-1.75
O  0.0000  0.4065  0.1590  1 As 1.73
O  0.0000  0.5846  0.6099  1 As 1.73
O  0.2168  0.2825  0.5605  1 As 1.75
O  0.2832  0.7175  0.0605  1 As 1.75
O  0.5000  0.4154  0.1099  1 As 1.73
O  0.5000  0.5935  0.6590  1 As 1.73
O  0.7168  0.7175  0.0605  1 As 1.75
O  0.7832  0.2825  0.5605  1 As 1.75

Calculated values
**E**: -5.39 eV per atom
**N(E_F)**: 1.3 states/eV/f.u.